# Na2PmScF8 (PBE-GGA, relaxed)
data_Na2PmScF8
_space_group_name_H-M_alt 'P m m m'
_space_group_IT_number 47
_space_group_name_Hall '-P 2 2'
_cell_length_a 3.8049
_cell_length_b 5.5503
_cell_length_c 7.5319
_cell_angle_alpha 90.00
_cell_angle_beta 90.00
_cell_angle_gamma 90.00
loop_
_atom_site_label
_atom_site_fract_x
_atom_site_fract_y
_atom_site_fract_z
_atom_site_occupancy
Na1 0.0000 0.0000 0.2325 1
Pm1 0.5000 0.5000 0.5000 1
Sc1 0.5000 0.5000 0.0000 1
F1 0.0000 0.2569 0.5000 1
F2 0.0000 0.2855 0.0000 1
F3 0.5000 0.2735 0.2318 1
# Energy relative to the elements, uncorrected: -3.589 eV/atom
# Fermi-level density of states: 0.000 states/eV per atom
# Size of the total moment: 0.00 μB per atom

# NaPmSnF6 (PBE-GGA, relaxed)
data_NaPmSnF6
_space_group_name_H-M_alt 'P 42 n m'
_space_group_IT_number 102
_space_group_name_Hall 'P 4n -2n'
_cell_length_a 5.3866
_cell_length_b 5.3866
_cell_length_c 11.2444
_cell_angle_alpha 90.00
_cell_angle_beta 90.00
_cell_angle_gamma 90.00
loop_
_atom_site_label
_atom_site_fract_x
_atom_site_fract_y
_atom_site_fract_z
_atom_site_occupancy
Na1 0.0000 0.0000 0.0000 1
Pm1 0.0000 0.0000 0.6655 1
Sn1 0.0000 0.0000 0.3312 1
F1 0.1884 0.1884 0.8245 1
F2 0.1977 0.1977 0.1721 1
F3 0.1983 0.1983 0.5170 1
# Energy relative to the elements, uncorrected: -3.145 eV/atom
# Fermi-level density of states: 0.000 states/eV per atom
# Size of the total moment: 0.00 μB per atom

# NaSrPmF6 (PBE-GGA, relaxed)
data_NaSrPmF6
_space_group_name_H-M_alt 'P -3 1 c'
_space_group_IT_number 163
_space_group_name_Hall '-P 3 2c'
_cell_length_a 6.0208
_cell_length_b 6.0208
_cell_length_c 10.2503
_cell_angle_alpha 90.00
_cell_angle_beta 90.00
_cell_angle_gamma 120.00
loop_
_atom_site_label
_atom_site_fract_x
_atom_site_fract_y
_atom_site_fract_z
_atom_site_occupancy
Na1 0.3333 0.6667 0.2500 1
Sr1 0.0000 0.0000 0.0000 1
Pm1 0.3333 0.6667 0.7500 1
F1 0.0099 0.3439 0.6345 1
# Energy relative to the elements, uncorrected: -3.693 eV/atom
# Fermi-level density of states: 0.000 states/eV per atom
# Size of the total moment: 0.03 μB per atom